# PBE Fe2MoRh, relaxed
# ρ (Mg/m³): 9.48
# N(E_F) (states/eV/f.u.): 4.8
# Electronic total energy (eV per atom): -8.65
# Formation energy (eV/atom): 0.13
data_Fe2MoRh
_cell_length_a 6.014
_cell_length_b 6.014
_cell_length_c 6.014
_cell_angle_alpha 90.00
_cell_angle_beta 90.00
_cell_angle_gamma 90.00
_symmetry_space_group_name_H-M 'F -4 3 m'
_symmetry_Int_Tables_number 216
_symmetry_space_group_name_Hall 'F -4 2 3'
loop_
_atom_site_label
_atom_site_fract_x
_atom_site_fract_y
_atom_site_fract_z
Fe1 0.000 0.000 0.000
Fe2 0.250 0.250 0.250
Mo1 0.250 0.250 0.750
Rh1 0.000 0.000 0.500


# PBE FeMo2Rh, relaxed
# ρ (Mg/m³): 10.20
# N(E_F) (states/eV/f.u.): 4.9
# Electronic total energy (eV per atom): -9.27
# Formation energy (eV/atom): 0.10
# Energy relative to the lowest polymorph listed for this composition (eV/atom): 0.095
data_FeMo2Rh
_cell_length_a 3.853
_cell_length_b 3.853
_cell_length_c 7.690
_cell_angle_alpha 90.00
_cell_angle_beta 90.00
_cell_angle_gamma 90.00
_symmetry_space_group_name_H-M 'I -4 m 2'
_symmetry_Int_Tables_number 119
_symmetry_space_group_name_Hall 'I -4 -2'
loop_
_atom_site_label
_atom_site_fract_x
_atom_site_fract_y
_atom_site_fract_z
Fe1 0.000 0.000 0.000
Mo1 0.000 0.000 0.500
Mo2 0.000 0.500 0.250
Rh1 0.000 0.500 0.750


# PBE Fe4MoRh, relaxed
# ρ (Mg/m³): 9.54
# N(E_F) (states/eV/f.u.): 5.4
# Electronic total energy (eV per atom): -8.71
# Formation energy (eV/atom): -0.04
data_Fe4MoRh
_cell_length_a 6.650
_cell_length_b 6.650
_cell_length_c 6.650
_cell_angle_alpha 90.00
_cell_angle_beta 90.00
_cell_angle_gamma 90.00
_symmetry_space_group_name_H-M 'F -4 3 m'
_symmetry_Int_Tables_number 216
_symmetry_space_group_name_Hall 'F -4 2 3'
loop_
_atom_site_label
_atom_site_fract_x
_atom_site_fract_y
_atom_site_fract_z
Fe1 0.125 0.125 0.125
Mo1 0.000 0.000 0.500
Rh1 0.250 0.250 0.750


# PBE Fe2MoRh, relaxed
# ρ (Mg/m³): 9.73
# N(E_F) (states/eV/f.u.): 4.1
# Electronic total energy (eV per atom): -8.75
# Formation energy (eV/atom): 0.03
data_Fe2MoRh
_cell_length_a 2.702
_cell_length_b 3.661
_cell_length_c 5.355
_cell_angle_alpha 90.00
_cell_angle_beta 90.10
_cell_angle_gamma 90.00
_symmetry_space_group_name_H-M 'P 1 m 1'
_symmetry_Int_Tables_number 6
loop_
_symmetry_equiv_pos_as_xyz
'x,y,z'
'x,-y,z'
loop_
_atom_site_label
_atom_site_fract_x
_atom_site_fract_y
_atom_site_fract_z
Fe1 0.000 0.000 0.000
Fe2 0.499 0.500 0.224
Mo1 0.500 0.500 0.751
Rh1 0.999 0.000 0.479


# PBE Fe2MoRh, relaxed
# ρ (Mg/m³): 9.70
# N(E_F) (states/eV/f.u.): 4.7
# Electronic total energy (eV per atom): -8.70
# Formation energy (eV/atom): 0.08
data_Fe2MoRh
_cell_length_a 2.687
_cell_length_b 3.700
_cell_length_c 5.347
_cell_angle_alpha 90.00
_cell_angle_beta 90.00
_cell_angle_gamma 90.00
_symmetry_space_group_name_H-M 'P m m m'
_symmetry_Int_Tables_number 47
loop_
_symmetry_equiv_pos_as_xyz
'x,y,z'
'-x,-y,-z'
'-x,-y,z'
'x,y,-z'
'x,-y,-z'
'-x,y,z'
'-x,y,-z'
'x,-y,z'
loop_
_atom_site_label
_atom_site_fract_x
_atom_site_fract_y
_atom_site_fract_z
Fe1 0.000 0.000 0.249
Mo1 0.500 0.500 0.500
Rh1 0.500 0.500 0.000


# PBE Fe2MoRh8, relaxed
# ρ (Mg/m³): 10.74
# N(E_F) (states/eV/f.u.): 12.0
# Electronic total energy (eV per atom): -7.78
# Formation energy (eV/atom): 0.09
data_Fe2MoRh8
_cell_length_a 7.863
_cell_length_b 10.069
_cell_length_c 4.027
_cell_angle_alpha 90.00
_cell_angle_beta 90.00
_cell_angle_gamma 90.00
_symmetry_space_group_name_H-M 'C m m m'
_symmetry_Int_Tables_number 65
_symmetry_space_group_name_Hall '-C 2 2'
loop_
_atom_site_label
_atom_site_fract_x
_atom_site_fract_y
_atom_site_fract_z
Fe1 0.000 0.115 0.000
Mo1 0.000 0.500 0.500
Rh1 0.000 0.242 0.500
Rh2 0.168 0.000 0.500
Rh3 0.170 0.367 0.000